K2Rb2Sb | Alexandria | PBE | relaxed; uncorrected formation energy = -0.06 eV per atom; distance to the lowest polymorph of the same formula = 176 meV per atom
1.0
9.2459 0.0000 0.0000
0.0000 9.2459 0.0000
0.0000 0.0000 6.7323
K Rb Sb
4 4 2
Direct
0.2015 0.2985 0.0000
0.2985 0.7985 0.0000
0.7015 0.2015 0.0000
0.7985 0.7015 0.0000
0.1439 0.6439 0.5000
0.3561 0.1439 0.5000
0.6439 0.8561 0.5000
0.8561 0.3561 0.5000
0.0000 0.0000 0.5000
0.5000 0.5000 0.5000

=====

KRbSb2 | Alexandria | PBE | relaxed; uncorrected formation energy = -0.39 eV per atom
1.0
4.6034 0.0000 0.0000
0.0000 6.9633 0.0000
0.0000 0.0000 10.5363
K Rb Sb
2 2 4
Direct
0.0000 0.1402 0.0000
0.0000 0.8598 0.5000
0.5000 0.3597 0.3724
0.5000 0.6403 0.8724
0.0000 0.3610 0.6556
0.0000 0.6390 0.1556
0.5000 0.1244 0.7199
0.5000 0.8756 0.2199

=====

KRbSb | Alexandria | PBE | relaxed; uncorrected formation energy = -0.24 eV per atom; distance to the lowest polymorph of the same formula = 135 meV per atom
1.0
-2.3400 2.3400 5.8204
2.3400 -2.3400 5.8204
2.3400 2.3400 -5.8204
K Rb Sb
1 1 1
Direct
0.0000 0.0000 0.0000
0.3038 0.3038 0.0000
0.6427 0.6427 0.0000

=====

KRb2Sb6 | Alexandria | PBE | relaxed; uncorrected formation energy = -0.20 eV per atom
1.0
-2.1776 6.2583 6.5091
2.1776 -6.2583 6.5091
2.1776 6.2583 -6.5091
K Rb Sb
1 2 6
Direct
0.0000 0.0000 0.0000
0.3348 0.3348 0.0000
0.6652 0.6652 0.0000
0.0802 0.8337 0.2465
0.2420 0.5000 0.7420
0.4128 0.1663 0.2465
0.5872 0.8337 0.7535
0.7580 0.5000 0.2580
0.9198 0.1663 0.7535

=====

KRb2Sb | Alexandria | PBE | relaxed; uncorrected formation energy = -0.10 eV per atom
1.0
-2.8230 2.8230 12.5564
2.8230 -2.8230 12.5564
2.8230 2.8230 -12.5564
K Rb Sb
2 4 2
Direct
0.0000 0.0000 0.0000
0.7500 0.2500 0.5000
0.1493 0.6250 0.0243
0.3750 0.3993 0.5243
0.6007 0.1250 0.9757
0.8750 0.8507 0.4757
0.2500 0.7500 0.5000
0.5000 0.5000 0.0000

=====

K4Rb2Sb | Alexandria | PBE | relaxed; uncorrected formation energy = -0.12 eV per atom
1.0
-3.4021 3.4021 11.3299
3.4021 -3.4021 11.3299
3.4021 3.4021 -11.3299
K Rb Sb
4 2 1
Direct
0.0000 0.5000 0.5000
0.1492 0.1492 0.0000
0.5000 0.0000 0.5000
0.8508 0.8508 0.0000
0.3423 0.3423 0.0000
0.6577 0.6577 0.0000
0.0000 0.0000 0.0000

=====

KRb2Sb2 | Alexandria | PBE | relaxed; uncorrected formation energy = -0.24 eV per atom; distance to the lowest polymorph of the same formula = 115 meV per atom
1.0
-2.8023 2.8023 7.6042
2.8023 -2.8023 7.6042
2.8023 2.8023 -7.6042
K Rb Sb
1 2 2
Direct
0.0000 0.0000 0.0000
0.2500 0.7500 0.5000
0.7500 0.2500 0.5000
0.4089 0.4089 0.0000
0.5911 0.5911 0.0000

=====

KRbSb | Alexandria | PBE | relaxed; uncorrected formation energy = -0.27 eV per atom; distance to the lowest polymorph of the same formula = 105 meV per atom
1.0
6.2573 0.0000 0.0000
-3.1286 5.4190 0.0000
0.0000 0.0000 9.6354
K Rb Sb
2 2 2
Direct
0.0000 0.0000 0.0000
0.3333 0.6667 0.5000
0.6667 0.3333 0.2735
0.6667 0.3333 0.7265
0.0000 0.0000 0.3500
0.0000 0.0000 0.6500

=====

KRb2Sb2 | Alexandria | PBE | relaxed; uncorrected formation energy = 0.05 eV per atom; distance to the lowest polymorph of the same formula = 409 meV per atom
1.0
-3.0418 3.0418 6.5335
3.0418 -3.0418 6.5335
3.0418 3.0418 -6.5335
K Rb Sb
1 2 2
Direct
0.0000 0.0000 0.0000
0.3730 0.3730 0.0000
0.6270 0.6270 0.0000
0.2500 0.7500 0.5000
0.7500 0.2500 0.5000

=====

K2RbSbSe4 | Alexandria | PBE | relaxed; uncorrected formation energy = -0.64 eV per atom
1.0
-4.3044 4.6467 6.8564
4.3044 -4.6467 6.8564
4.3044 4.6467 -6.8564
K Rb Sb Se
4 2 2 8
Direct
0.0000 0.0000 0.0000
0.5000 0.0000 0.0000
0.5000 0.0000 0.5000
0.5000 0.5000 0.5000
0.0000 0.5000 0.5000
0.5000 0.5000 0.0000
0.0000 0.0000 0.5000
0.0000 0.5000 0.0000
0.1894 0.1823 0.4929
0.1894 0.6964 0.0071
0.2074 0.2485 0.9589
0.2104 0.7515 0.4589
0.7896 0.2485 0.5411
0.7926 0.7515 0.0411
0.8106 0.3036 0.9929
0.8106 0.8177 0.5071

=====

KRbSbSe3 | Alexandria | PBE | relaxed; uncorrected formation energy = -0.70 eV per atom
1.0
6.0193 -4.5635 0.0000
6.0193 4.5635 0.0000
-1.2347 0.0000 9.3391
K Rb Sb Se
2 2 2 6
Direct
0.2307 0.7693 0.0000
0.7693 0.2307 0.0000
0.3365 0.3365 0.5517
0.6635 0.6635 0.4483
0.0290 0.0290 0.6570
0.9710 0.9710 0.3430
0.0826 0.6288 0.2838
0.1461 0.1461 0.2249
0.3712 0.9174 0.7162
0.6288 0.0826 0.2838
0.8539 0.8539 0.7751
0.9174 0.3712 0.7162

=====

K2Rb4SnSb2 | Alexandria | PBE | relaxed; uncorrected formation energy = -0.19 eV per atom
1.0
-2.8199 5.3181 7.5348
2.8199 -5.3181 7.5348
2.8199 5.3181 -7.5348
K Rb Sn Sb
2 4 1 2
Direct
0.1413 0.1413 0.0000
0.8587 0.8587 0.0000
0.1658 0.3651 0.8007
0.4356 0.6349 0.8007
0.5644 0.3651 0.1993
0.8342 0.6349 0.1993
0.5000 0.0000 0.5000
0.2850 0.7850 0.5000
0.7150 0.2150 0.5000

=====

KRb2SnSb2 | Alexandria | PBE | relaxed; uncorrected formation energy = -0.35 eV per atom
1.0
5.6852 0.0000 0.0000
0.0000 9.9159 0.0000
0.0000 0.0000 8.3602
K Rb Sn Sb
2 4 2 4
Direct
0.0000 0.0343 0.0000
0.0000 0.9657 0.5000
0.0000 0.3328 0.2997
0.0000 0.6672 0.7997
0.5000 0.4164 0.9897
0.5000 0.5836 0.4897
0.5000 0.1688 0.6484
0.5000 0.8312 0.1484
0.0000 0.2941 0.7183
0.0000 0.7059 0.2183
0.5000 0.1099 0.2908
0.5000 0.8901 0.7908

=====

KRb2SbTe4 | Alexandria | PBE | relaxed; uncorrected formation energy = -0.55 eV per atom
1.0
0.0000 8.5154 13.4776
3.4739 0.0000 13.4776
3.4739 8.5154 0.0000
K Rb Sb Te
2 4 2 8
Direct
0.1250 0.1250 0.1250
0.8750 0.8750 0.8750
0.0564 0.0564 0.6936
0.3064 0.3064 0.9436
0.6936 0.6936 0.0564
0.9436 0.9436 0.3064
0.3750 0.3750 0.3750
0.6250 0.6250 0.6250
0.0254 0.5846 0.5166
0.3734 0.5166 0.5846
0.4154 0.9746 0.6266
0.4834 0.6266 0.9746
0.5166 0.3734 0.0254
0.5846 0.0254 0.3734
0.6266 0.4834 0.4154
0.9746 0.4154 0.4834

=====

KRbSb2Te | Alexandria | PBE | relaxed; uncorrected formation energy = 0.62 eV per atom; distance to the lowest polymorph of the same formula = 160 meV per atom
1.0
6.2321 0.0000 0.0000
0.0000 6.2321 0.0000
0.0000 0.0000 6.4238
K Rb Sb Te
1 1 2 1
Direct
0.0000 0.0000 0.0000
0.5000 0.5000 0.5000
0.0000 0.5000 0.5000
0.5000 0.0000 0.5000
0.5000 0.5000 0.0000

=====

KRbSb2Te | Alexandria | PBE | relaxed; uncorrected formation energy = 0.46 eV per atom; distance to the lowest polymorph of the same formula = 0 meV per atom
1.0
6.0606 0.0000 0.0000
0.0000 6.0606 0.0000
0.0000 0.0000 6.2021
K Rb Sb Te
1 1 2 1
Direct
0.0000 0.0000 0.0000
0.5000 0.5000 0.5000
0.0000 0.5000 0.0000
0.5000 0.0000 0.0000
0.0000 0.0000 0.5000

=====

KRbTl2Sb2 | Alexandria | PBE | relaxed; uncorrected formation energy = -0.25 eV per atom
1.0
5.4850 0.0000 0.0000
-2.7425 4.7502 0.0000
0.0000 0.0000 8.6192
K Rb Tl Sb
1 1 2 2
Direct
0.0000 0.0000 0.0000
0.0000 0.0000 0.5000
0.3333 0.6667 0.1482
0.6667 0.3333 0.8518
0.3333 0.6667 0.7726
0.6667 0.3333 0.2274

=====

K2Rb4TlSb2 | Alexandria | PBE | relaxed; uncorrected formation energy = -0.22 eV per atom
1.0
8.2412 -5.3611 0.0000
8.2412 5.3611 0.0000
-1.9461 0.0000 5.3519
K Rb Tl Sb
2 4 1 2
Direct
0.1410 0.1410 0.1431
0.8590 0.8590 0.8569
0.1560 0.5593 0.3568
0.4407 0.8440 0.6432
0.5593 0.1560 0.3568
0.8440 0.4407 0.6432
0.5000 0.5000 0.0000
0.2825 0.2825 0.7824
0.7175 0.7175 0.2176

=====

K2RbTlSb | Alexandria | PBE | relaxed; uncorrected formation energy = -0.08 eV per atom
1.0
6.9577 0.0000 0.0000
0.0000 6.9577 0.0000
0.0000 0.0000 5.8210
K Rb Tl Sb
2 1 1 1
Direct
0.0000 0.5000 0.0000
0.5000 0.0000 0.0000
0.0000 0.0000 0.5000
0.5000 0.5000 0.5000
0.5000 0.5000 0.0000

=====

KRbTl4Sb2 | Alexandria | PBE | relaxed; uncorrected formation energy = -0.19 eV per atom
1.0
4.8947 0.0000 0.0000
0.0000 4.8947 0.0000
0.0000 0.0000 13.1533
K Rb Tl Sb
1 1 4 2
Direct
0.0000 0.0000 0.0000
0.0000 0.0000 0.5000
0.0000 0.5000 0.2686
0.0000 0.5000 0.7314
0.5000 0.0000 0.2686
0.5000 0.0000 0.7314
0.5000 0.5000 0.1153
0.5000 0.5000 0.8847

=====

KRbTlSb | Alexandria | PBE | relaxed; uncorrected formation energy = -0.26 eV per atom
1.0
0.0000 4.2072 4.2072
4.2072 0.0000 4.2072
4.2072 4.2072 0.0000
K Rb Tl Sb
1 1 1 1
Direct
0.0000 0.0000 0.0000
0.7500 0.7500 0.7500
0.5000 0.5000 0.5000
0.2500 0.2500 0.2500

=====

KRbY2Sb | Alexandria | PBE | relaxed; uncorrected formation energy = 0.08 eV per atom
1.0
5.9329 0.0000 0.0000
0.0000 5.9329 0.0000
0.0000 0.0000 6.9732
K Rb Y Sb
1 1 2 1
Direct
0.0000 0.0000 0.0000
0.5000 0.5000 0.0000
0.0000 0.5000 0.5000
0.5000 0.0000 0.5000
0.0000 0.0000 0.5000

=====

K2Rb4ZnSb2 | Alexandria | PBE | relaxed; uncorrected formation energy = -0.25 eV per atom
1.0
7.1306 -5.3920 0.0000
7.1306 5.3920 0.0000
-1.0975 0.0000 5.7734
K Rb Zn Sb
2 4 1 2
Direct
0.1423 0.1423 0.2148
0.8577 0.8577 0.7852
0.1492 0.5899 0.2970
0.4101 0.8508 0.7030
0.5899 0.1492 0.2970
0.8508 0.4101 0.7030
0.5000 0.5000 0.0000
0.3236 0.3236 0.7892
0.6764 0.6764 0.2108

=====

KRbZn2Sb2 | Alexandria | PBE | relaxed; uncorrected formation energy = -0.40 eV per atom
1.0
4.5907 0.0000 0.0000
-2.2954 3.9757 0.0000
0.0000 0.0000 11.0426
K Rb Zn Sb
1 1 2 2
Direct
0.0000 0.0000 0.0000
0.0000 0.0000 0.5000
0.3333 0.6667 0.2404
0.6667 0.3333 0.7596
0.3333 0.6667 0.7576
0.6667 0.3333 0.2424

=====

K4Rb2ZnSb2 | Alexandria | PBE | relaxed; uncorrected formation energy = -0.26 eV per atom
1.0
7.5686 -4.6029 0.0000
7.5686 4.6029 0.0000
-1.5319 0.0000 5.8705
K Rb Zn Sb
4 2 1 2
Direct
0.0905 0.6456 0.8135
0.3544 0.9095 0.1865
0.6456 0.0905 0.8135
0.9095 0.3544 0.1865
0.3598 0.3598 0.3001
0.6402 0.6402 0.6999
0.0000 0.0000 0.5000
0.1721 0.1721 0.7045
0.8279 0.8279 0.2955